TbCePr2Tl4 (PBE, optimized geometry); E_form = -0.33 eV/atom; symmetry = R-3m, No. 166; total magnetization = 1.13 μB/cell; mass density = 9.8 g/cm3; calculated total energy = -32.20 eV per cell
1.0
-4.075 -0.419 3.682
0.190 -3.898 3.886
3.080 4.246 8.011
Tb Ce Pr Tl
1 1 2 4
direct
0.000 0.000 0.000
0.500 0.500 0.500
0.749 0.749 0.753
0.251 0.251 0.247
0.374 0.374 0.878
0.876 0.876 0.372
0.124 0.124 0.628
0.626 0.626 0.122


Ac2PrSn3Pd6 (PBE, optimized geometry); E_form = -0.54 eV/atom; symmetry = P4/mmm, No. 123; total magnetization = 0.00 μB/cell; mass density = 8.2 g/cm3; calculated total energy = -62.61 eV per cell
1.0
4.253 0.000 0.000
0.000 4.253 0.000
0.000 0.000 17.768
Ac Pr Sn Pd
2 1 3 6
direct
0.500 0.500 0.178
0.500 0.500 0.822
0.500 0.500 0.500
0.000 0.000 0.294
0.000 0.000 0.706
0.000 0.000 0.000
0.000 0.500 0.618
0.500 0.000 0.382
0.500 0.000 0.618
0.000 0.000 0.144
0.000 0.500 0.382
0.000 0.000 0.856


Rb2NaPt (PBE, optimized geometry); E_form = 0.20 eV/atom; symmetry = Fm-3m, No. 225; total magnetization = 0.00 μB/cell; mass density = 4.6 g/cm3; calculated total energy = -8.49 eV per cell
1.0
2.716 -4.204 3.036
2.362 1.218 5.217
-2.435 -2.123 4.883
Na Rb Pt
1 2 1
direct
0.000 0.000 0.000
0.250 0.250 0.250
0.750 0.750 0.750
0.500 0.500 0.500


Tl2Zn2Sb3 (PBE, optimized geometry); symmetry = Cmcm, No. 63; total magnetization = 0.00 μB/cell; mass density = 7.8 g/cm3; calculated total energy = -38.72 eV per cell
1.0
5.324 0.000 -1.269
0.000 6.812 0.000
-0.267 0.000 10.683
Tl Zn Sb
4 4 6
direct
0.145 0.250 0.289
0.855 0.750 0.711
0.948 0.250 0.896
0.052 0.750 0.104
0.705 0.937 0.411
0.295 0.063 0.589
0.295 0.437 0.589
0.705 0.563 0.411
0.214 0.750 0.429
0.786 0.250 0.571
0.573 0.465 0.146
0.427 0.535 0.854
0.427 0.965 0.854
0.573 0.035 0.146


ZrGePt6 (PBE, optimized geometry); E_form = -0.55 eV/atom; symmetry = Amm2, No. 38; total magnetization = 0.00 μB/cell; mass density = 16.9 g/cm3; calculated total energy = -53.83 eV per cell
1.0
4.032 0.000 0.000
0.000 5.678 -0.455
0.000 0.539 5.671
Zr Ge Pt
1 1 6
direct
0.500 0.386 0.614
0.000 0.089 0.911
0.000 0.616 0.869
0.000 0.131 0.384
0.000 0.625 0.375
0.500 0.888 0.620
0.500 0.380 0.112
0.500 0.885 0.115


Sr2HoPbO6 (PBE, optimized geometry); symmetry = P2_1/c, No. 14; total magnetization = 2.22 μB/cell; mass density = 6.9 g/cm3; calculated total energy = -128.04 eV per cell
1.0
5.977 0.000 -0.030
0.000 6.114 0.000
0.010 0.000 8.501
Sr Ho Pb O
4 2 2 12
direct
0.014 0.953 0.250
0.514 0.547 0.750
0.986 0.047 0.750
0.486 0.453 0.250
0.500 0.000 0.000
0.000 0.500 0.500
0.500 0.000 0.500
0.000 0.500 0.000
0.292 0.706 0.053
0.792 0.794 0.553
0.708 0.294 0.947
0.208 0.206 0.447
0.297 0.711 0.446
0.797 0.789 0.946
0.703 0.289 0.554
0.203 0.211 0.054
0.899 0.540 0.247
0.399 0.960 0.747
0.101 0.460 0.753
0.601 0.040 0.253


CaMnHg (PBE, optimized geometry); E_form = 0.58 eV/atom; symmetry = F-43m, No. 216; total magnetization = 3.81 μB/cell; mass density = 5.7 g/cm3; calculated total energy = -9.75 eV per cell
1.0
-4.831 1.091 -0.280
-3.250 -2.371 2.901
-2.219 2.410 3.724
Ca Mn Hg
1 1 1
direct
0.750 0.750 0.750
0.500 0.500 0.500
0.000 0.000 0.000


Sc2MnSe (PBE, optimized geometry); symmetry = F-43m, No. 216; total magnetization = 1.06 μB/cell; mass density = 5.1 g/cm3; calculated total energy = -25.17 eV per cell
1.0
-0.562 0.280 4.646
3.472 -1.311 2.864
2.356 3.223 2.456
Mn Sc Se
1 2 1
direct
0.500 0.500 0.500
0.000 0.000 0.000
0.250 0.250 0.250
0.750 0.750 0.750


NbTe2Ru (PBE, optimized geometry); E above lowest polymorph = 633 meV/atom; symmetry = R-3m, No. 166; total magnetization = 0.00 μB/cell; mass density = 8.3 g/cm3; calculated total energy = -24.37 eV per cell
1.0
1.948 0.000 9.062
-0.974 1.687 9.062
-0.974 -1.687 9.062
Ru Nb Te
1 1 2
direct
0.000 0.000 0.000
0.500 0.500 0.500
0.907 0.907 0.907
0.093 0.093 0.093


Ho2FeSi2 (PBE, optimized geometry); symmetry = C2/m, No. 12; total magnetization = 0.00 μB/cell; mass density = 7.9 g/cm3; calculated total energy = -64.07 eV per cell
1.0
-3.099 -2.354 -1.372
1.756 -5.177 -1.291
-2.949 -4.030 7.370
Si Ho Fe
4 4 2
direct
0.500 0.873 0.127
0.654 0.255 0.436
0.500 0.127 0.873
0.346 0.745 0.564
0.189 0.731 0.892
0.999 0.330 0.672
0.811 0.269 0.108
0.001 0.670 0.328
0.271 0.081 0.376
0.729 0.919 0.624


CrCdFeNi2 (PBE, optimized geometry); E_form = 1.36 eV/atom; symmetry = P4/mmm, No. 123; total magnetization = 5.55 μB/cell; mass density = 6.3 g/cm3; calculated total energy = -23.78 eV per cell
1.0
4.252 0.000 0.000
0.000 4.957 0.000
0.000 0.000 4.252
Cr Ni Fe Cd
1 2 1 1
direct
0.000 0.000 0.000
0.000 0.000 0.500
0.500 0.000 0.000
0.500 0.500 0.500
0.000 0.500 0.000


PtBrCl (PBE, optimized geometry); symmetry = P1, No. 1; total magnetization = 0.00 μB/cell; mass density = 5.6 g/cm3; calculated total energy = -20.16 eV per cell
1.0
-3.505 0.347 -1.332
-4.194 -4.815 3.970
-3.648 3.968 4.836
Pt Br Cl
2 2 2
direct
0.512 0.234 0.022
0.030 0.019 0.204
0.549 0.805 0.385
0.994 0.448 0.841
0.074 0.274 0.326
0.968 0.979 0.900


HfTl3Sb (PBE, optimized geometry); E above lowest polymorph = 433 meV/atom; symmetry = Pm-3m, No. 221; total magnetization = 1.17 μB/cell; mass density = 8.3 g/cm3; calculated total energy = -15.58 eV per cell
1.0
5.675 0.000 0.000
0.000 5.675 0.000
0.000 0.000 5.675
Sb Tl Hf
1 3 1
direct
0.000 0.000 0.000
0.000 0.500 0.000
0.000 0.000 0.500
0.500 0.000 0.000
0.500 0.500 0.500


CsRu2W2 (PBE, optimized geometry); E above lowest polymorph = 173 meV/atom; E_form = 0.94 eV/atom; symmetry = P4/mbm, No. 127; total magnetization = 0.00 μB/cell; mass density = 12.0 g/cm3; calculated total energy = -81.23 eV per cell
1.0
8.159 0.000 0.000
0.000 8.159 0.000
0.000 0.000 2.911
Cs Ru W
2 4 4
direct
0.000 0.000 0.000
0.500 0.500 0.000
0.340 0.840 0.000
0.840 0.660 0.000
0.660 0.160 0.000
0.160 0.340 0.000
0.112 0.612 0.500
0.612 0.888 0.500
0.888 0.388 0.500
0.388 0.112 0.500


YAl2Co (PBE, optimized geometry); E_form = -0.18 eV/atom; symmetry = Fm-3m, No. 225; total magnetization = 0.13 μB/cell; mass density = 5.0 g/cm3; calculated total energy = -21.77 eV per cell
1.0
0.000 3.231 3.231
3.231 0.000 3.231
3.231 3.231 0.000
Y Co Al
1 1 2
direct
0.500 0.500 0.500
0.000 0.000 0.000
0.250 0.250 0.250
0.750 0.750 0.750


DyFeS (PBE, optimized geometry); symmetry = R-3m, No. 166; total magnetization = 0.77 μB/cell; mass density = 6.0 g/cm3; calculated total energy = -38.78 eV per cell
1.0
-3.299 1.499 -1.258
-3.299 -1.871 0.574
-3.482 5.064 9.316
Dy S Fe
2 2 2
direct
0.570 0.570 0.289
0.430 0.430 0.711
0.278 0.278 0.165
0.722 0.722 0.835
0.833 0.833 0.500
0.167 0.167 0.500


KGa2Ir2 (PBE, optimized geometry); E above lowest polymorph = 0 meV/atom; E_form = -0.14 eV/atom; symmetry = P4/mbm, No. 127; total magnetization = 0.00 μB/cell; mass density = 10.9 g/cm3; calculated total energy = -51.13 eV per cell
1.0
-6.869 0.870 3.530
3.310 -1.623 6.842
0.551 2.769 0.390
K Ir Ga
2 4 4
direct
0.000 0.000 0.000
0.500 0.500 0.000
0.358 0.858 0.000
0.858 0.642 0.000
0.642 0.142 0.000
0.142 0.358 0.000
0.148 0.648 0.500
0.648 0.852 0.500
0.852 0.352 0.500
0.352 0.148 0.500


Nd2ZnOsC (PBE, optimized geometry); E_form = -0.26 eV/atom; symmetry = P4/mmm, No. 123; total magnetization = 0.00 μB/cell; mass density = 8.7 g/cm3; calculated total energy = -32.55 eV per cell
1.0
3.909 0.000 0.000
0.000 5.210 0.000
0.000 0.000 5.210
Nd Zn Os C
2 1 1 1
direct
0.000 0.000 0.500
0.000 0.500 0.000
0.500 0.500 0.500
0.500 0.000 0.000
0.000 0.000 0.000


LaTb8Sm2 (PBE, optimized geometry); E above lowest polymorph = 61 meV/atom; E_form = 0.18 eV/atom; symmetry = C2/m, No. 12; total magnetization = 0.00 μB/cell; mass density = 7.8 g/cm3; calculated total energy = -49.47 eV per cell
1.0
6.223 -1.516 -1.059
-0.344 9.096 2.228
-0.344 5.222 7.774
La Tb Sm
1 8 2
direct
0.000 0.000 0.000
0.315 0.137 0.654
0.315 0.654 0.137
0.685 0.863 0.346
0.245 0.557 0.557
0.685 0.346 0.863
0.321 0.211 0.211
0.679 0.789 0.789
0.755 0.443 0.443
0.880 0.281 0.281
0.120 0.719 0.719


CaLa2HfB (PBE, optimized geometry); E_form = 0.80 eV/atom; symmetry = P4/mmm, No. 123; total magnetization = 0.00 μB/cell; mass density = 5.4 g/cm3; calculated total energy = -24.48 eV per cell
1.0
-2.410 1.962 -4.927
-3.919 -2.206 1.039
-1.914 4.726 2.818
Ca B Hf La
1 1 1 2
direct
0.500 0.500 0.500
0.000 0.500 0.000
0.000 0.000 0.000
0.000 0.000 0.500
0.500 0.000 0.000